# VCuAsSe2, relaxed, DFT PBE-GGA
data_VCuAsSe2
_cell_length_a 4.7558
_cell_length_b 4.7558
_cell_length_c 4.8017
_cell_angle_alpha 90.00
_cell_angle_beta 90.00
_cell_angle_gamma 90.00
_space_group_name_H-M_alt 'P 4/m m m'
_space_group_IT_number 123
_space_group_name_Hall '-P 4 2'
loop_
_atom_site_label
_atom_site_type_symbol
_atom_site_fract_x
_atom_site_fract_y
_atom_site_fract_z
V1 V 0.0000 0.0000 0.0000
Cu1 Cu 0.5000 0.5000 0.5000
As1 As 0.0000 0.0000 0.5000
Se1 Se 0.0000 0.5000 0.0000
# Volume (A^3/atom): 21.72
# Crystal system: tetragonal
# Uncorrected formation energy (eV per atom): 0.364
# Calculated density (g/cm3): 5.31
# Distance to the lowest polymorph of the same formula (eV/f.u.): 0.00
# Magnetization (Bohr magnetons per cell): 0.0

=====

# VCuAsSe2, relaxed, DFT PBE-GGA
data_VCuAsSe2
_cell_length_a 4.8019
_cell_length_b 4.8019
_cell_length_c 4.5325
_cell_angle_alpha 90.00
_cell_angle_beta 90.00
_cell_angle_gamma 90.00
_space_group_name_H-M_alt 'P 4/m m m'
_space_group_IT_number 123
_space_group_name_Hall '-P 4 2'
loop_
_atom_site_label
_atom_site_type_symbol
_atom_site_fract_x
_atom_site_fract_y
_atom_site_fract_z
V1 V 0.0000 0.0000 0.0000
Cu1 Cu 0.5000 0.5000 0.5000
As1 As 0.5000 0.5000 0.0000
Se1 Se 0.0000 0.5000 0.5000
# Volume (A^3/atom): 20.90
# Crystal system: tetragonal
# Uncorrected formation energy (eV per atom): 0.813
# Calculated density (g/cm3): 5.52
# Distance to the lowest polymorph of the same formula (eV/f.u.): 2.25
# Magnetization (Bohr magnetons per cell): 0.2

=====

# VCuAs2Se, relaxed, DFT PBE-GGA
data_VCuAs2Se
_cell_length_a 4.7472
_cell_length_b 4.7472
_cell_length_c 4.7244
_cell_angle_alpha 90.00
_cell_angle_beta 90.00
_cell_angle_gamma 90.00
_space_group_name_H-M_alt 'P 4/m m m'
_space_group_IT_number 123
_space_group_name_Hall '-P 4 2'
loop_
_atom_site_label
_atom_site_type_symbol
_atom_site_fract_x
_atom_site_fract_y
_atom_site_fract_z
V1 V 0.0000 0.0000 0.0000
Cu1 Cu 0.5000 0.5000 0.5000
As1 As 0.0000 0.5000 0.0000
Se1 Se 0.0000 0.0000 0.5000
# Volume (A^3/atom): 21.29
# Crystal system: tetragonal
# Uncorrected formation energy (eV per atom): 0.433
# Calculated density (g/cm3): 5.35
# Distance to the lowest polymorph of the same formula (eV/f.u.): 0.00
# Magnetization (Bohr magnetons per cell): 0.0

=====

# CuAsWSe2, relaxed, DFT PBE-GGA
data_CuAsWSe2
_cell_length_a 4.8785
_cell_length_b 4.8785
_cell_length_c 5.0041
_cell_angle_alpha 90.00
_cell_angle_beta 90.00
_cell_angle_gamma 90.00
_space_group_name_H-M_alt 'P 4/m m m'
_space_group_IT_number 123
_space_group_name_Hall '-P 4 2'
loop_
_atom_site_label
_atom_site_type_symbol
_atom_site_fract_x
_atom_site_fract_y
_atom_site_fract_z
Cu1 Cu 0.0000 0.0000 0.0000
As1 As 0.5000 0.5000 0.0000
W1 W 0.5000 0.5000 0.5000
Se1 Se 0.0000 0.5000 0.5000
# Volume (A^3/atom): 23.82
# Crystal system: tetragonal
# Uncorrected formation energy (eV per atom): 0.675
# Calculated density (g/cm3): 6.70
# Distance to the lowest polymorph of the same formula (eV/f.u.): 0.00
# Magnetization (Bohr magnetons per cell): 0.0

=====

# CuAsWSe2, relaxed, DFT PBE-GGA
data_CuAsWSe2
_cell_length_a 4.6959
_cell_length_b 4.6959
_cell_length_c 4.6034
_cell_angle_alpha 90.00
_cell_angle_beta 90.00
_cell_angle_gamma 90.00
_space_group_name_H-M_alt 'P 4/m m m'
_space_group_IT_number 123
_space_group_name_Hall '-P 4 2'
loop_
_atom_site_label
_atom_site_type_symbol
_atom_site_fract_x
_atom_site_fract_y
_atom_site_fract_z
Cu1 Cu 0.0000 0.0000 0.0000
As1 As 0.0000 0.0000 0.5000
W1 W 0.5000 0.5000 0.5000
Se1 Se 0.0000 0.5000 0.0000
# Volume (A^3/atom): 20.30
# Crystal system: tetragonal
# Uncorrected formation energy (eV per atom): 1.180
# Calculated density (g/cm3): 7.86
# Distance to the lowest polymorph of the same formula (eV/f.u.): 2.52
# Magnetization (Bohr magnetons per cell): 2.4

=====

# YCuAs2Se, relaxed, DFT PBE-GGA
data_YCuAs2Se
_cell_length_a 4.6872
_cell_length_b 4.6872
_cell_length_c 4.9522
_cell_angle_alpha 90.00
_cell_angle_beta 90.00
_cell_angle_gamma 90.00
_space_group_name_H-M_alt 'P 4/m m m'
_space_group_IT_number 123
_space_group_name_Hall '-P 4 2'
loop_
_atom_site_label
_atom_site_type_symbol
_atom_site_fract_x
_atom_site_fract_y
_atom_site_fract_z
Y1 Y 0.0000 0.0000 0.0000
Cu1 Cu 0.5000 0.5000 0.5000
As1 As 0.0000 0.5000 0.5000
Se1 Se 0.5000 0.5000 0.0000
# Volume (A^3/atom): 21.76
# Crystal system: tetragonal
# Uncorrected formation energy (eV per atom): -0.192
# Calculated density (g/cm3): 5.82
# Distance to the lowest polymorph of the same formula (eV/f.u.): 0.00
# Magnetization (Bohr magnetons per cell): 0.0

=====

Q: volume of number 3 (VCuAs2Se)?
A: 21.29 A^3/atom